K8I3Br4 | PBE | relaxed

abc: 9.7962 9.7962 9.7755
angles: 119.88 119.88 90.05
Positions (direct):
1 K 0.2387 0.2387 0.9898
2 K 0.2417 0.2417 0.4890
3 K 0.2443 0.7557 0.0000
4 K 0.2457 0.7543 0.5000
5 K 0.7543 0.2457 0.5000
6 K 0.7557 0.2443 0.0000
7 K 0.7583 0.7583 0.5110
8 K 0.7613 0.7613 0.0102
9 I 0.0000 0.5000 0.0000
10 I 0.5000 0.0000 0.0000
11 I 0.5000 0.5000 0.0000
12 Br 0.0000 0.0000 0.0000
13 Br 0.0000 0.0000 0.5000
14 Br 0.0000 0.5000 0.5000
15 Br 0.5000 0.0000 0.5000

E = -2.8276 eV/atom
formation energy (no corrections) = -2151 kJ/mol of formula units
DOS at the Fermi energy = 2.80 states/eV/f.u.

Pr3PPbBr | PBE | relaxed

abc: 7.5757 4.1949 11.8177
angles: 90.00 102.37 90.00
Positions (direct):
1 Pr 0.0431 0.2500 0.1393
2 Pr 0.2773 0.2500 0.4977
3 Pr 0.4520 0.7500 0.8542
4 Pr 0.5480 0.2500 0.1458
5 Pr 0.7227 0.7500 0.5023
6 Pr 0.9569 0.7500 0.8607
7 P 0.2340 0.2500 0.9448
8 P 0.7660 0.7500 0.0552
9 Pb 0.3501 0.7500 0.3021
10 Pb 0.6499 0.2500 0.6979
11 Br 0.1237 0.7500 0.6393
12 Br 0.8763 0.2500 0.3607

E = -5.2904 eV/atom
formation energy (no corrections) = -638 kJ/mol of formula units
DOS at the Fermi energy = 3.15 states/eV/f.u.

Hg2H2I | PBE | relaxed

abc: 6.6352 6.6352 6.6352
angles: 145.06 145.06 50.25
Positions (direct):
1 Hg 0.1718 0.1718 0.0000
2 Hg 0.8282 0.8282 0.0000
3 H 0.2500 0.7500 0.5000
4 H 0.7500 0.2500 0.5000
5 I 0.5000 0.5000 0.0000

E = -1.3341 eV/atom
DOS at the Fermi energy = 1.11 states/eV/f.u.

Tb6Nd2HoMg | PBE | relaxed

abc: 11.0417 11.0417 6.6316
angles: 93.93 93.93 126.61
Positions (direct):
1 Tb 0.0844 0.5613 0.2772
2 Tb 0.0890 0.7948 0.9726
3 Tb 0.2052 0.9110 0.5274
4 Tb 0.2976 0.4683 0.0175
5 Tb 0.4387 0.9156 0.2228
6 Tb 0.4683 0.2976 0.5175
7 Tb 0.5317 0.7024 0.4825
8 Tb 0.5613 0.0844 0.7772
9 Tb 0.7024 0.5317 0.9825
10 Tb 0.7948 0.0890 0.4726
11 Tb 0.9110 0.2052 0.0274
12 Tb 0.9156 0.4387 0.7228
13 Nd 0.1837 0.3488 0.5038
14 Nd 0.3488 0.1837 0.0038
15 Nd 0.6512 0.8163 0.9962
16 Nd 0.8163 0.6512 0.4962
17 Ho 0.0065 0.9935 0.2500
18 Ho 0.9935 0.0065 0.7500
19 Mg 0.2938 0.7062 0.7500
20 Mg 0.7062 0.2938 0.2500

E = -4.2486 eV/atom
DOS at the Fermi energy = 14.57 states/eV/f.u.
formation enthalpy at 0 K = 0.10 eV per atom

Tb2Cd6Ag | PBE | relaxed

abc: 7.1590 7.1590 4.6804
angles: 90.00 90.00 116.86
Positions (direct):
1 Tb 0.2139 0.7861 0.0000
2 Tb 0.7861 0.2139 0.0000
3 Cd 0.1673 0.4449 0.5000
4 Cd 0.2838 0.2838 0.0000
5 Cd 0.4449 0.1673 0.5000
6 Cd 0.5551 0.8327 0.5000
7 Cd 0.7162 0.7162 0.0000
8 Cd 0.8327 0.5551 0.5000
9 Ag 0.0000 0.0000 0.5000

E = -2.1676 eV/atom
DOS at the Fermi energy = 6.84 states/eV/f.u.
formation enthalpy at 0 K = -0.21 eV per atom

TiOs3 | PBE | relaxed

abc: 2.8002 4.4078 4.7319
angles: 90.00 90.00 90.00
Positions (direct):
1 Ti 0.0000 0.0000 0.0000
2 Os 0.0000 0.5000 0.3628
3 Os 0.5000 0.0000 0.5120
4 Os 0.5000 0.5000 0.8729

E = -10.5216 eV/atom
DOS at the Fermi energy = 5.30 states/eV/f.u.
formation enthalpy at 0 K = -0.13 eV per atom

- Which value of E does entry 1 give?
  -2.8276 eV/atom

- Which of these has the highest DOS at the Fermi energy?
  Tb6Nd2HoMg

- Number 6 is which compound?
  TiOs3

- Which formula does entry 6 have?
  TiOs3